Below is a relaxed Pm4ErMg5 crystal, with properties calculated at the PBE level.

Summary:
Crystal system = tetragonal
Formation energy from the elements = -0.097 eV per atom

a = 3.838 Å, b = 3.838 Å, c = 19.280 Å
α = 90.00°, β = 90.00°, γ = 90.00°
Atoms (fractional coordinates):
Pm 0.000 0.000 0.101
Pm 0.000 0.000 0.304
Pm 0.000 0.000 0.696
Pm 0.000 0.000 0.899
Er 0.000 0.000 0.500
Mg 0.500 0.500 0.000
Mg 0.500 0.500 0.202
Mg 0.500 0.500 0.405
Mg 0.500 0.500 0.595
Mg 0.500 0.500 0.798